1.
PrHfAsO: relaxed, GGA-PBE.

Values from the calculation:
offset from the most stable computed form = 0.056 eV per atom
space group = P4/nmm, No. 129

Lattice parameters (Å, degrees): 4.2360 4.2360 9.0503 90.00 90.00 90.00
With the nearest neighbours (Å) after each atom.
Element x y z (fractional)
Pr 0.2500 0.2500 0.1234  4 O 2.39
Pr 0.7500 0.7500 0.8766  4 O 2.39
Hf 0.2500 0.7500 0.5000  4 As 2.70, 4 Hf 3.00
Hf 0.7500 0.2500 0.5000  4 As 2.70, 4 Hf 3.00
As 0.2500 0.2500 0.6857  4 Hf 2.70
As 0.7500 0.7500 0.3143  4 Hf 2.70
O 0.2500 0.7500 0.0000  4 Pr 2.39
O 0.7500 0.2500 0.0000  4 Pr 2.39


2.
CsNbTl2S4: relaxed, GGA-PBE.

Values from the calculation:
space group = I-42m, No. 121

Lattice parameters (Å, degrees): 6.9454 6.9454 6.9454 111.84 111.84 104.84
With the nearest neighbours (Å) after each atom.
Element x y z (fractional)
Cs 0.0000 0.0000 0.0000  8 S 3.54-3.80, 4 Tl 3.89
Nb 0.5000 0.5000 0.0000  4 S 2.30
Tl 0.0000 0.5000 0.5000  4 S 3.14
Tl 0.5000 0.0000 0.5000  4 S 3.14
S 0.1763 0.5256 0.0000  1 Nb 2.30
S 0.4744 0.4744 0.6508  1 Nb 2.30
S 0.5256 0.1763 0.0000  1 Nb 2.30
S 0.8237 0.8237 0.3492  1 Nb 2.30


3.
TcB4Pb: relaxed, GGA-PBE.

Values from the calculation:
offset from the most stable computed form = 0.000 eV per atom
space group = P6/mmm, No. 191

Lattice parameters (Å, degrees): 3.0183 3.0183 8.7942 90.00 90.00 120.00
With the nearest neighbours (Å) after each atom.
Element x y z (fractional)
Tc 0.0000 0.0000 0.0000  12 B 2.41
B 0.3333 0.6667 0.1886  3 B 1.74
B 0.3333 0.6667 0.8114  3 B 1.74
B 0.6667 0.3333 0.1886  3 B 1.74
B 0.6667 0.3333 0.8114  3 B 1.74
Pb 0.0000 0.0000 0.5000  6 Pb 3.02, 12 B 3.25


Number 1: magnetization 0.0 μB per cell, VASP energy -0.2928 hartree per atom. Number 2: magnetization 0.0 μB per cell, VASP energy -0.1791 hartree per atom. Number 3: magnetization 0.0 μB per cell, VASP energy -0.2399 hartree per atom.